1.
InNi2BPd: optimized geometry, PBE.

The calculation puts the formation energy at -203 meV per atom.

It has space group P4/mmm (No. 123), with a = 3.9510 Å, b = 3.9510 Å, c = 4.2085 Å, α = 90.00°, β = 90.00° and γ = 90.00°. The inequivalent atoms are In at (0.0000, 0.0000, 0.0000), Ni at (0.0000, 0.5000, 0.5000), B at (0.5000, 0.5000, 0.5000) and Pd at (0.5000, 0.5000, 0.0000).

2.
InNiBPt2: optimized geometry, PBE.

The calculation puts the formation energy at -232 meV per atom.

It has space group P4/mmm (No. 123), with a = 4.2670 Å, b = 4.2670 Å, c = 3.9650 Å, α = 90.00°, β = 90.00° and γ = 90.00°. The inequivalent atoms are In at (0.0000, 0.0000, 0.0000), Ni at (0.5000, 0.5000, 0.0000), B at (0.5000, 0.5000, 0.5000) and Pt at (0.0000, 0.5000, 0.5000).

3.
InNi2BPt: optimized geometry, PBE.

The calculation puts the formation energy at -217 meV per atom.

It has space group P4/mmm (No. 123), with a = 3.9946 Å, b = 3.9946 Å, c = 4.1658 Å, α = 90.00°, β = 90.00° and γ = 90.00°. The inequivalent atoms are In at (0.0000, 0.0000, 0.0000), Ni at (0.0000, 0.5000, 0.5000), B at (0.5000, 0.5000, 0.5000) and Pt at (0.5000, 0.5000, 0.0000).

Number 1: total magnetic moment 0.000 μB/f.u.. Number 2: total magnetic moment 0.000 μB/f.u.. Number 3: total magnetic moment 0.000 μB/f.u..